Material: Mg2AlAu
Method: DFT, PBE
State: relaxed

Cell: 10.4404 3.1879 4.9094 Å, 90.00 111.46 90.00°
Closest atoms and distances in Å follow each position.
Space group Cm (No. 8)
Inequivalent atoms, fractional coordinates:
Mg 0.0000 0.0000 0.0000 [2 per cell]  4 Au 2.86-3.03, 3 Al 2.94-3.01, 3 Mg 3.17-3.19
Mg 0.2146 0.0000 0.6523 [2 per cell]  3 Au 2.86-3.03, 4 Al 2.95-2.98, 3 Mg 3.17-3.19
Al 0.2629 0.5000 0.1862 [2 per cell]  2 Au 2.67, 5 Mg 2.94-2.98
Au 0.4703 0.0000 0.4979 [2 per cell]  2 Al 2.67, 4 Mg 2.86

Formation energy from the elements ... -0.274 eV per atom
Total magnetic moment ... 0.0 μB per formula unit